# La5Ag

La5Ag after structural relaxation (PBE, Alexandria).

Calculated values
total moment = 0.00 μB per formula unit
Fermi-level density of states = 15.99 states/eV/cell
offset from the most stable computed form = 56 meV per atom
crystal system = orthorhombic
energy relative to the elements = -0.022 eV per atom

a = 5.945 Å, b = 3.707 Å, c = 17.988 Å
α = 90.00°, β = 90.00°, γ = 90.00°
Space group Amm2 (No. 38)
One atom of each set of equivalent atoms:
La: 0.000 0.000 0.000 (multiplicity 2)
La: 0.000 0.000 0.305 (multiplicity 2)
La: 0.500 0.000 0.133 (multiplicity 2)
La: 0.500 0.000 0.465 (multiplicity 2)
La: 0.500 0.000 0.790 (multiplicity 2)
Ag: 0.000 0.000 0.654 (multiplicity 2)



# BiBr3Cl

BiBr3Cl after structural relaxation (PBE, Alexandria).

Calculated values
total moment = 1.02 μB per formula unit
Fermi-level density of states = 8.81 states/eV/cell
offset from the most stable computed form = 377 meV per atom
crystal system = cubic
formation energy (no corrections) = -1.09 eV/f.u.

a = 5.714 Å, b = 5.714 Å, c = 5.714 Å
α = 90.00°, β = 90.00°, γ = 90.00°
Space group Pm-3m (No. 221)
One atom of each set of equivalent atoms:
Bi: 0.000 0.000 0.000 (multiplicity 1)
Br: 0.000 0.000 0.500 (multiplicity 3)
Cl: 0.500 0.500 0.500 (multiplicity 1)



# TaNb5H6

TaNb5H6 after structural relaxation (PBE, Alexandria).

Calculated values
total moment = 0.00 μB per formula unit
Fermi-level density of states = 9.21 states/eV/cell
raw total energy = -0.5141 Ry per atom
crystal system = monoclinic

a = 4.956 Å, b = 9.544 Å, c = 5.302 Å
α = 90.00°, β = 103.78°, γ = 90.00°
Space group C2/m (No. 12)
One atom of each set of equivalent atoms:
Ta: 0.000 0.000 0.000 (multiplicity 2)
Nb: 0.000 0.166 0.500 (multiplicity 4)
Nb: 0.000 0.333 0.000 (multiplicity 4)
Nb: 0.000 0.500 0.500 (multiplicity 2)
H: 0.247 0.500 0.246 (multiplicity 4)
H: 0.249 0.333 0.750 (multiplicity 8)



# YMnW2

YMnW2 after structural relaxation (PBE, Alexandria).

Calculated values
total moment = 0.00 μB per formula unit
Fermi-level density of states = 5.25 states/eV/cell
offset from the most stable computed form = 76 meV per atom
crystal system = orthorhombic
energy relative to the elements = 0.412 eV per atom

a = 3.129 Å, b = 4.583 Å, c = 9.553 Å
α = 90.00°, β = 90.00°, γ = 90.00°
Space group Immm (No. 71)
One atom of each set of equivalent atoms:
Y: 0.000 0.000 0.000 (multiplicity 2)
Mn: 0.000 0.000 0.500 (multiplicity 2)
W: 0.000 0.500 0.229 (multiplicity 4)



# AcPmBi

AcPmBi after structural relaxation (PBE, Alexandria).

Calculated values
total moment = 0.03 μB per formula unit
Fermi-level density of states = 3.86 states/eV/cell
offset from the most stable computed form = 50 meV per atom
crystal system = triclinic
energy relative to the elements = -0.442 eV per atom

a = 4.407 Å, b = 4.408 Å, c = 14.312 Å
α = 81.17°, β = 81.18°, γ = 60.11°
Space group P1 (No. 1)
One atom of each set of equivalent atoms:
Ac: 0.000 0.000 0.000 (multiplicity 1)
Ac: 0.259 0.261 0.220 (multiplicity 1)
Pm: 0.158 0.162 0.521 (multiplicity 1)
Pm: 0.400 0.403 0.795 (multiplicity 1)
Bi: 0.539 0.543 0.380 (multiplicity 1)
Bi: 0.778 0.782 0.660 (multiplicity 1)



# Nd2Zn3Cd

Nd2Zn3Cd after structural relaxation (PBE, Alexandria).

Calculated values
total moment = 0.00 μB per formula unit
Fermi-level density of states = 13.04 states/eV/cell
offset from the most stable computed form = 49 meV per atom
crystal system = orthorhombic
energy relative to the elements = -0.274 eV per atom

a = 3.726 Å, b = 4.715 Å, c = 16.174 Å
α = 90.00°, β = 90.00°, γ = 90.00°
Space group Imm2 (No. 44)
One atom of each set of equivalent atoms:
Nd: 0.000 0.000 0.000 (multiplicity 2)
Nd: 0.000 0.500 0.270 (multiplicity 2)
Zn: 0.000 0.000 0.430 (multiplicity 2)
Zn: 0.000 0.500 0.676 (multiplicity 2)
Zn: 0.000 0.500 0.833 (multiplicity 2)
Cd: 0.000 0.000 0.597 (multiplicity 2)



# HgPOs2

HgPOs2 after structural relaxation (PBE, Alexandria).

Calculated values
total moment = 0.00 μB per formula unit
Fermi-level density of states = 1.39 states/eV/cell
offset from the most stable computed form = 228 meV per atom
crystal system = monoclinic
energy relative to the elements = 0.519 eV per atom

a = 2.984 Å, b = 3.744 Å, c = 5.871 Å
α = 90.00°, β = 104.12°, γ = 90.00°
Space group P2/m (No. 10)
One atom of each set of equivalent atoms:
Hg: 0.000 0.000 0.000 (multiplicity 1)
P: 0.500 0.000 0.500 (multiplicity 1)
Os: 0.359 0.500 0.701 (multiplicity 2)



# InGaRu2Au

InGaRu2Au after structural relaxation (PBE, Alexandria).

Calculated values
total moment = 1.57 μB per formula unit
Fermi-level density of states = 5.05 states/eV/cell
crystal system = tetragonal
energy relative to the elements = 1.071 eV per atom

a = 4.573 Å, b = 4.573 Å, c = 4.853 Å
α = 90.00°, β = 90.00°, γ = 90.00°
Space group P4/mmm (No. 123)
One atom of each set of equivalent atoms:
In: 0.000 0.000 0.000 (multiplicity 1)
Ga: 0.000 0.000 0.500 (multiplicity 1)
Ru: 0.000 0.500 0.500 (multiplicity 2)
Au: 0.500 0.500 0.000 (multiplicity 1)